Compound: Fe2Co5Si
Source: the Alexandria database
Functional: PBE
Structure: relaxed

The value obtained for the magnetization is 11.20 μB/f.u. The crystal system is orthorhombic. The value obtained for the uncorrected formation energy is -0.172 eV per atom.

```
data_Fe2Co5Si
_space_group_name_H-M_alt 'P b a m'
_space_group_IT_number 55
_space_group_name_Hall '-P 2 2ab'
_cell_length_a 4.880
_cell_length_b 9.534
_cell_length_c 3.789
_cell_angle_alpha 90.00
_cell_angle_beta 90.00
_cell_angle_gamma 90.00
loop_
_atom_site_label
_atom_site_type_symbol
_atom_site_fract_x
_atom_site_fract_y
_atom_site_fract_z
_atom_site_occupancy
Fe1 Fe 0.171 0.136 0.000 1
Co1 Co 0.000 0.000 0.500 1
Co2 Co 0.100 0.744 0.500 1
Co3 Co 0.178 0.390 0.000 1
Si1 Si 0.000 0.500 0.500 1
```